Record 1
DyAgPt: optimized geometry, PBE-GGA.

Cell: 4.6353 4.6353 3.3944 Å, 90.00 90.00 120.00°
Fractional coordinates of all 3 atoms:
Dy 0.0000 0.0000 0.0000
Ag 0.3333 0.6667 0.5000
Pt 0.6667 0.3333 0.5000

Summary:
formation energy from the elements	-0.627	eV/atom
VASP energy	-5.125	eV/atom
spin magnetization	0.0	μB/f.u.
space-group type	P-6m2

=====

Record 2
Dy4AgPt: optimized geometry, PBE-GGA.

Cell: 4.9187 4.9187 7.0566 Å, 90.00 90.00 90.00°
Fractional coordinates of all 6 atoms:
Dy 0.0000 0.5000 0.2371
Dy 0.0000 0.5000 0.7629
Dy 0.5000 0.0000 0.2371
Dy 0.5000 0.0000 0.7629
Ag 0.0000 0.0000 0.5000
Pt 0.5000 0.5000 0.0000

Summary:
formation energy from the elements	-0.408	eV/atom
VASP energy	-4.958	eV/atom
spin magnetization	0.0	μB/f.u.
space-group type	P4/mmm

=====

Record 3
DyAg2Pt: optimized geometry, PBE-GGA.

Cell: 4.0394 4.0394 4.8351 Å, 90.00 90.00 90.00°
Fractional coordinates of all 4 atoms:
Dy 0.0000 0.0000 0.0000
Ag 0.0000 0.5000 0.5000
Ag 0.5000 0.0000 0.5000
Pt 0.5000 0.5000 0.0000

Summary:
formation energy from the elements	-0.484	eV/atom
VASP energy	-4.570	eV/atom
spin magnetization	0.0	μB/f.u.
space-group type	P4/mmm

=====

Record 4
DyAgPt2: optimized geometry, PBE-GGA.

Cell: 4.2453 4.2453 4.0414 Å, 90.00 90.00 90.00°
Fractional coordinates of all 4 atoms:
Dy 0.0000 0.0000 0.0000
Ag 0.5000 0.5000 0.0000
Pt 0.0000 0.5000 0.5000
Pt 0.5000 0.0000 0.5000

Summary:
formation energy from the elements	-0.821	eV/atom
VASP energy	-5.705	eV/atom
spin magnetization	0.0	μB/f.u.
space-group type	P4/mmm